BaTmAgSeS2 | GGA-PBE | optimized geometry

energy = -5.06 eV/atom

a b c (Å): 7.3404 7.3404 10.5672
angles (deg): 90.00 90.00 147.27
Last column: nearest neighbours and their distance in Å.
Fractional coordinates of all 12 atoms:
S  0.8723  0.1277  0.5506  1 Ag 2.51, 2 Tm 2.79
Ag  0.0314  0.9686  0.2500  2 S 2.51, 2 Se 2.63
Tm  0.5000  0.5000  0.0000  4 S 2.79, 2 Se 2.90
S  0.1277  0.8723  0.0506  1 Ag 2.51, 2 Tm 2.79
S  0.8723  0.1277  0.9494  1 Ag 2.51, 2 Tm 2.79
Ba  0.2595  0.7405  0.7500  2 Se 3.22, 4 S 3.35, 2 Ag 3.60
Se  0.5845  0.4155  0.7500  2 Ag 2.63, 2 Tm 2.90
Tm  0.5000  0.5000  0.5000  4 S 2.79, 2 Se 2.90
Ba  0.7405  0.2595  0.2500  2 Se 3.22, 4 S 3.35, 2 Ag 3.60
Ag  0.9686  0.0314  0.7500  2 S 2.51, 2 Se 2.63
Se  0.4155  0.5845  0.2500  2 Ag 2.63, 2 Tm 2.90
S  0.1277  0.8723  0.4494  1 Ag 2.51, 2 Tm 2.79